Record 1
# Er2ZnNi

An optimized crystal structure of Er2ZnNi (PBE, the Alexandria database).

POSCAR file:
```
Er2ZnNi
1.0
4.8611 0.0000 0.0000
2.4305 4.2098 0.0000
2.4305 1.4033 3.9690
Ni Zn Er
1 1 2
Cartesian
4.8611 2.8065 1.9845
0.0000 0.0000 0.0000
2.4305 1.4033 0.9923
7.2916 4.2098 2.9768
```

Results
Electronic total energy (eV/cell): -17.68
ΔE_f (eV per formula unit): -1.50
Symmetry: No. 225
Crystal system: cubic
Relative energy among the computed polymorphs (meV/atom): 27.6
Magnetic moment (μB per formula unit): 0.00
Density (g cm⁻³): 9.38

=====

Record 2
# Er4ZnNi2

An optimized crystal structure of Er4ZnNi2 (PBE, the Alexandria database).

POSCAR file:
```
Er4ZnNi2
1.0
-3.8299 0.4843 -2.8110
2.5998 -1.3433 -3.7737
-1.6756 -6.5073 1.1619
Er Zn Ni
4 1 2
Cartesian
0.8720 -2.3333 -1.5901
-2.3428 -1.4196 -1.1088
0.0522 -5.5173 -1.0216
-3.1627 -4.6035 -0.5403
-0.6150 -0.4295 -3.2923
-1.4529 -3.6832 -2.7114
0.0000 0.0000 0.0000
```

Results
Electronic total energy (eV/cell): -33.07
ΔE_f (eV per formula unit): -1.99
Symmetry: No. 123
Crystal system: tetragonal
Relative energy among the computed polymorphs (meV/atom): 24.5
Magnetic moment (μB per formula unit): 0.00
Density (g cm⁻³): 9.10

=====

Record 3
# ErZn2Ni4

An optimized crystal structure of ErZn2Ni4 (PBE, the Alexandria database).

POSCAR file:
```
ErZn2Ni4
1.0
-3.4305 3.5646 0.1447
-3.3608 0.0332 3.7733
1.0017 4.2839 2.4862
Ni Zn Er
4 2 1
Cartesian
-1.7630 5.0985 1.6276
-4.4387 2.4913 2.4173
-1.3508 5.3905 3.9868
-4.0266 2.7833 4.7766
-2.0355 3.0493 3.1700
-3.7539 4.8323 3.2341
-3.3609 0.0333 3.7733
```

Results
Electronic total energy (eV/cell): -32.38
ΔE_f (eV per formula unit): -2.15
Symmetry: No. 12
Crystal system: monoclinic
Relative energy among the computed polymorphs (meV/atom): 0.0
Magnetic moment (μB per formula unit): 0.00
Density (g cm⁻³): 9.18

=====

Record 4
# Er12ZnNi6

An optimized crystal structure of Er12ZnNi6 (PBE, the Alexandria database).

POSCAR file:
```
Er12ZnNi6
1.0
8.0917 -0.3688 -0.4419
-1.5913 7.9422 -0.4419
-1.5913 -1.8540 7.7354
Er Zn Ni
12 1 6
Cartesian
2.7521 1.8151 5.9690
2.1570 3.9043 0.8827
6.8301 2.1432 0.0289
1.3769 5.3377 4.0139
-1.9210 3.5762 6.8228
3.5322 0.3817 2.8379
-0.1582 2.1580 3.9992
1.0829 -1.2360 6.9673
5.0673 3.5615 2.8525
-1.3859 6.6974 2.1138
3.8261 6.9554 -0.1156
6.2950 -0.9780 4.7379
0.0000 0.0000 0.0000
5.2121 1.4602 4.7337
4.2559 2.0221 0.7191
3.5556 5.8183 2.2826
-0.3030 4.2592 2.1181
1.3535 -0.0989 4.5691
0.6532 3.6973 6.1326
```

Results
Electronic total energy (eV/cell): -93.71
ΔE_f (eV per formula unit): -3.00
Symmetry: No. 148
Crystal system: trigonal
Relative energy among the computed polymorphs (meV/atom): 177.8
Magnetic moment (μB per formula unit): 0.00
Density (g cm⁻³): 8.41

=====

Record 5
# ErZnNi5

An optimized crystal structure of ErZnNi5 (PBE, the Alexandria database).

POSCAR file:
```
ErZnNi5
1.0
-4.2380 -0.1223 -2.2149
2.9737 -4.8627 -5.4213
-2.6772 -7.8304 5.5551
Ni Er Zn
20 4 4
Cartesian
-1.3624 -3.6669 -2.3992
1.4993 -5.3950 -5.1534
0.6617 -3.0603 -3.6797
-0.1883 -7.0129 -4.4610
-0.8085 -5.3648 -0.7393
-2.7654 -9.9187 -1.9087
-2.2717 -7.0731 -5.5498
-1.1760 -2.8968 -0.1724
-2.0694 -4.2682 1.6127
-0.4956 -9.0884 1.4070
-3.1329 -7.4506 -1.3418
-1.6697 -5.7423 3.4687
-5.4407 -7.4204 3.0722
-3.4459 -3.7271 -3.4881
-1.8721 -8.5473 -3.6938
0.3129 -5.3221 -2.8873
-3.7532 -5.8025 2.3798
-4.2543 -7.4934 0.8062
-4.6032 -9.7551 1.5986
-2.5790 -9.1485 0.3181
-1.0932 -4.2311 -5.4225
-0.3427 -8.0362 -1.4830
-2.8482 -8.5843 3.3414
-3.5987 -4.7792 -0.5982
-2.2340 -6.0104 -3.1414
-0.8005 -10.9324 -0.4472
-1.7074 -6.8051 1.0603
-3.1410 -1.8830 -1.6340
```

Results
Electronic total energy (eV/cell): -147.97
ΔE_f (eV per formula unit): -2.25
Symmetry: No. 62
Crystal system: orthorhombic
Magnetic moment (μB per formula unit): 0.58
Density (g cm⁻³): 9.32

=====

Record 6
# Er2ZnNi

An optimized crystal structure of Er2ZnNi (PBE, the Alexandria database).

POSCAR file:
```
Er2ZnNi
1.0
-2.1719 -2.9566 -1.1876
1.1466 -3.6220 0.6602
-4.7224 -2.1422 7.7095
Er Zn Ni
2 1 1
Cartesian
-3.2283 -2.1595 5.0200
-2.5194 -6.5613 2.1621
0.0000 0.0000 0.0000
-2.8739 -4.3604 3.5911
```

Results
Electronic total energy (eV/cell): -15.92
ΔE_f (eV per formula unit): 0.26
Symmetry: No. 166
Crystal system: trigonal
Relative energy among the computed polymorphs (meV/atom): 466.0
Magnetic moment (μB per formula unit): 0.00
Density (g cm⁻³): 6.56

=====

Record 7
# ErZn2Ni4

An optimized crystal structure of ErZn2Ni4 (PBE, the Alexandria database).

POSCAR file:
```
ErZn2Ni4
1.0
-4.1404 2.4044 2.9298
-0.1415 -1.5596 -5.3903
0.4661 -4.9596 2.5870
Ni Zn Er
4 2 1
Cartesian
-0.8624 -3.9722 0.1369
-1.7466 -3.0958 1.9766
-2.9533 -0.1426 -0.0104
-2.0692 -1.0190 -1.8501
-0.9082 -3.0484 -2.0168
-2.9076 -1.0664 2.1433
0.0000 0.0000 0.0000
```

Results
Electronic total energy (eV/cell): -28.22
ΔE_f (eV per formula unit): 2.01
Symmetry: No. 139
Crystal system: tetragonal
Relative energy among the computed polymorphs (meV/atom): 594.0
Magnetic moment (μB per formula unit): 0.00
Density (g cm⁻³): 7.00

=====

Record 8
# Er3ZnNi3

An optimized crystal structure of Er3ZnNi3 (PBE, the Alexandria database).

POSCAR file:
```
Er3ZnNi3
1.0
4.1337 0.0000 0.0000
-2.0669 4.8687 0.0000
0.0000 0.0000 12.9009
Ni Zn Er
6 2 6
Cartesian
0.0000 2.1726 3.2252
0.0000 0.8261 5.2775
2.0669 4.0426 7.6235
2.0669 2.6960 9.6757
2.0669 4.0426 11.7279
0.0000 0.8261 1.1730
2.0669 0.0000 0.0000
2.0669 0.0000 6.4505
2.0669 2.8793 1.3442
0.0000 1.9894 7.7947
0.0000 1.9894 11.5568
0.0000 4.7287 9.6757
2.0669 0.1400 3.2252
2.0669 2.8793 5.1063
```

Results
Electronic total energy (eV/cell): -71.38
ΔE_f (eV per formula unit): -3.38
Symmetry: No. 63
Crystal system: orthorhombic
Relative energy among the computed polymorphs (meV/atom): 0.0
Magnetic moment (μB per formula unit): 0.00
Density (g cm⁻³): 9.51

=====

Record 9
# Er2Zn6Ni3

An optimized crystal structure of Er2Zn6Ni3 (PBE, the Alexandria database).

POSCAR file:
```
Er2Zn6Ni3
1.0
-3.8086 0.4599 0.4714
0.6603 -1.8389 7.1281
0.5987 7.0720 -2.0629
Zn Ni Er
6 3 2
Cartesian
-1.7184 -0.2877 2.2423
-1.7357 2.2208 -0.3450
0.5278 -1.4699 5.6976
-0.9997 3.9900 3.8751
0.4786 5.6528 -1.6489
0.2527 1.0502 1.0165
-1.5411 4.5196 -1.0155
-1.4089 2.2889 2.2286
-1.5038 -0.8854 4.5593
0.6397 1.1314 4.0645
0.6192 4.1017 1.0008
```

Results
Electronic total energy (eV/cell): -37.26
ΔE_f (eV per formula unit): -3.14
Symmetry: No. 189
Crystal system: hexagonal
Magnetic moment (μB per formula unit): 0.00
Density (g cm⁻³): 8.20

=====

Record 10
# Er2Zn5Ni5

An optimized crystal structure of Er2Zn5Ni5 (PBE, the Alexandria database).

POSCAR file:
```
Er2Zn5Ni5
1.0
-0.6306 -2.1417 3.2949
1.6761 -4.1993 -2.4087
8.2449 1.7379 2.7075
Ni Er Zn
5 2 5
Cartesian
6.2619 -0.8265 3.0650
4.6452 -2.3016 1.7969
2.1933 -1.6841 1.7290
3.0285 -3.7766 0.5287
7.0971 -2.9190 1.8648
0.8381 -2.0997 -1.2044
4.1224 0.8689 1.3537
6.8024 1.4338 2.2338
6.3386 -0.9402 0.6019
3.5824 -1.5212 -0.3032
-0.3153 -1.0708 1.6475
1.4425 0.3041 0.4737
```

Results
Electronic total energy (eV/cell): -48.62
ΔE_f (eV per formula unit): -4.22
Symmetry: No. 47
Crystal system: orthorhombic
Relative energy among the computed polymorphs (meV/atom): 43.1
Magnetic moment (μB per formula unit): 0.00
Density (g cm⁻³): 8.79

=====

Record 11
# ErZn3Ni

An optimized crystal structure of ErZn3Ni (PBE, the Alexandria database).

POSCAR file:
```
ErZn3Ni
1.0
-0.2693 -2.0083 -4.6609
6.0239 -1.2004 -2.4726
-0.1070 -4.8844 2.1108
Er Zn Ni
2 6 2
Cartesian
0.7062 -0.5486 -0.5309
4.8953 -4.6904 -3.1932
1.8414 -5.0787 -4.2470
3.9921 -2.3636 -1.3116
3.4907 -2.1684 -4.1381
1.5575 -5.2432 -1.3890
3.9370 -4.8800 -0.2242
1.6094 -2.8753 -2.4124
-0.2377 -4.5266 -3.0742
5.5699 -2.7207 -5.3108
```

Results
Electronic total energy (eV/cell): -31.70
ΔE_f (eV per formula unit): -1.68
Symmetry: No. 11
Crystal system: monoclinic
Relative energy among the computed polymorphs (meV/atom): 0.0
Magnetic moment (μB per formula unit): 0.00
Density (g cm⁻³): 8.41

=====

Record 12
# Er4ZnNi2

An optimized crystal structure of Er4ZnNi2 (PBE, the Alexandria database).

POSCAR file:
```
Er4ZnNi2
1.0
-2.0053 5.5762 3.1868
-5.4038 -3.9445 -0.0188
5.7638 -3.6361 4.6442
Er Zn Ni
8 2 4
Cartesian
2.0509 0.6987 5.9822
-2.2242 -0.4455 2.0540
2.9638 -1.9416 4.0780
-1.2294 3.4405 4.5856
0.7356 1.1716 2.8402
-1.4665 0.0903 5.4802
-4.2154 1.8650 3.7147
0.1292 -3.4902 5.6911
-1.5449 -2.9074 3.3944
0.4352 -7.0491 4.7292
-1.9323 2.1955 2.1569
2.0472 -5.0226 4.6165
0.3363 -1.2472 4.0335
-3.8709 -0.8268 4.4522
```

Results
Electronic total energy (eV/cell): -66.49
ΔE_f (eV per formula unit): -2.16
Symmetry: No. 1
Crystal system: triclinic
Relative energy among the computed polymorphs (meV/atom): 0.0
Magnetic moment (μB per formula unit): 0.00
Density (g cm⁻³): 9.09

=====

Record 13
# ErZn7Ni5

An optimized crystal structure of ErZn7Ni5 (PBE, the Alexandria database).

POSCAR file:
```
ErZn7Ni5
1.0
5.0202 0.0000 0.0000
2.5101 6.0028 -0.0070
2.5101 -0.0263 6.0028
Zn Ni Er
7 5 1
Cartesian
5.0202 1.2511 4.7225
7.5304 2.1239 3.9942
5.0202 4.7185 1.2663
7.5304 3.9873 2.1368
2.5101 1.3589 1.3633
5.0202 1.9822 1.9886
5.0202 3.8707 3.8832
3.7550 -0.0007 3.0291
3.7550 3.0291 0.0091
6.2855 3.0291 0.0091
6.2855 -0.0007 3.0291
7.5304 4.6538 4.6689
5.0202 5.8555 5.8744
```

Results
Electronic total energy (eV/cell): -46.30
ΔE_f (eV per formula unit): -3.91
Symmetry: No. 44
Crystal system: orthorhombic
Magnetic moment (μB per formula unit): 0.00
Density (g cm⁻³): 8.43

=====

Record 14
# Er2ZrNi9

An optimized crystal structure of Er2ZrNi9 (PBE, the Alexandria database).

POSCAR file:
```
Er2ZrNi9
1.0
4.8810 0.0000 0.0000
-2.4405 4.2271 0.0000
0.0000 0.0000 16.1781
Ni Zr Er
18 2 4
Cartesian
-1.2178 3.5212 6.0288
1.2178 3.5212 6.0288
0.0000 2.8180 4.0445
1.2227 0.7059 14.1178
0.0000 1.4118 2.0603
0.0000 0.0000 4.0445
-1.2178 3.5212 2.0603
2.4405 2.8153 14.1178
0.0000 0.0000 8.0891
0.0000 0.0000 12.1336
3.6583 0.7059 10.1493
1.2178 3.5212 2.0603
2.4405 2.8153 10.1493
2.4405 1.4090 12.1336
0.0000 1.4118 6.0288
0.0000 0.0000 0.0000
1.2227 0.7059 10.1493
3.6583 0.7059 14.1178
0.0000 2.8180 12.1336
2.4405 1.4090 4.0445
2.4405 1.4090 0.7027
2.4405 1.4090 7.3863
0.0000 2.8180 15.4754
0.0000 2.8180 8.7918
```

Results
Electronic total energy (eV/cell): -149.16
ΔE_f (eV per formula unit): -4.88
Symmetry: No. 194
Crystal system: hexagonal
Magnetic moment (μB per formula unit): 0.00
Density (g cm⁻³): 9.49

=====

Record 15
# ErZrNi

An optimized crystal structure of ErZrNi (PBE, the Alexandria database).

POSCAR file:
```
ErZrNi
1.0
5.5571 0.0000 0.0000
2.7785 4.7981 0.0000
2.7785 0.0000 9.1776
Ni Er Zr
4 4 4
Cartesian
6.9463 2.3991 6.8754
5.5571 0.0000 2.2866
2.7785 0.0000 6.8910
6.9463 2.3991 2.3022
5.5571 1.6124 0.0000
2.7785 3.1858 0.0000
6.9463 0.7867 4.5888
6.9463 4.0114 4.5888
4.1678 2.3991 6.1450
4.1678 2.3991 3.0327
2.7785 0.0000 1.5562
5.5571 0.0000 7.6215
```

Results
Electronic total energy (eV/cell): -78.45
ΔE_f (eV per formula unit): -0.72
Symmetry: No. 70
Crystal system: orthorhombic
Relative energy among the computed polymorphs (meV/atom): 0.0
Magnetic moment (μB per formula unit): 0.00
Density (g cm⁻³): 8.61

=====

Record 16
# ErZr2Ni

An optimized crystal structure of ErZr2Ni (PBE, the Alexandria database).

POSCAR file:
```
ErZr2Ni
1.0
-0.6506 -1.5448 2.8385
0.4976 -2.9088 -1.4690
7.5454 0.3274 1.9077
Zr Ni Er
2 1 1
Cartesian
1.5063 0.0654 0.3808
6.0391 0.2621 1.5269
-0.0765 -2.2268 0.6847
3.6962 -2.0631 1.6386
```

Results
Electronic total energy (eV/cell): -27.76
ΔE_f (eV per formula unit): -0.32
Symmetry: No. 123
Crystal system: tetragonal
Relative energy among the computed polymorphs (meV/atom): 107.0
Magnetic moment (μB per formula unit): 0.00
Density (g cm⁻³): 8.01

=====

Record 17
# ErZr2Ni

An optimized crystal structure of ErZr2Ni (PBE, the Alexandria database).

POSCAR file:
```
ErZr2Ni
1.0
5.7723 0.0000 0.0000
0.0000 6.2676 0.0000
0.0000 0.0000 9.6157
Ni Zr Er
4 8 4
Cartesian
3.5313 0.6638 7.2118
0.6452 2.4700 2.4039
5.1272 3.7975 7.2118
2.2410 5.6038 2.4039
1.9329 1.1379 0.5195
3.8394 5.1296 5.3273
4.8191 1.9959 5.3273
4.8191 1.9959 9.0962
0.9533 4.2717 0.5195
3.8394 5.1296 9.0962
0.9533 4.2717 4.2884
1.9329 1.1379 4.2884
3.7223 3.3079 2.4039
2.0500 2.9597 7.2118
0.8361 6.0935 7.2118
4.9362 0.1741 2.4039
```

Results
Electronic total energy (eV/cell): -112.77
ΔE_f (eV per formula unit): -0.75
Symmetry: No. 62
Crystal system: orthorhombic
Relative energy among the computed polymorphs (meV/atom): 0.0
Magnetic moment (μB per formula unit): 0.00
Density (g cm⁻³): 7.80

=====

Record 18
# ErZrNi4

An optimized crystal structure of ErZrNi4 (PBE, the Alexandria database).

POSCAR file:
```
ErZrNi4
1.0
4.9881 0.0000 0.0000
2.4941 4.3199 0.0000
2.4941 1.4400 4.0728
Er Ni Zr
1 4 1
Cartesian
2.4941 1.4400 1.0182
3.7400 3.6005 2.5460
4.9882 1.4386 2.5460
4.9882 2.8799 0.5077
6.2363 3.6005 2.5460
0.0000 0.0000 0.0000
```

Results
Electronic total energy (eV/cell): -38.79
ΔE_f (eV per formula unit): -2.55
Symmetry: No. 216
Crystal system: cubic
Magnetic moment (μB per formula unit): 0.00
Density (g cm⁻³): 9.33

=====

Record 19
# Er2ZrNi

An optimized crystal structure of Er2ZrNi (PBE, the Alexandria database).

POSCAR file:
```
Er2ZrNi
1.0
3.3772 0.0000 0.0000
0.0000 3.3772 0.0000
0.0000 0.0000 7.9128
Zr Ni Er
1 1 2
Cartesian
1.6886 1.6886 3.9564
1.6886 1.6886 0.0000
0.0000 0.0000 6.2797
0.0000 0.0000 1.6330
```

Results
Electronic total energy (eV/cell): -24.09
ΔE_f (eV per formula unit): -0.64
Symmetry: No. 123
Crystal system: tetragonal
Relative energy among the computed polymorphs (meV/atom): 0.0
Magnetic moment (μB per formula unit): 0.00
Density (g cm⁻³): 8.91

=====

Record 20
# ErZr2Ni

An optimized crystal structure of ErZr2Ni (PBE, the Alexandria database).

POSCAR file:
```
ErZr2Ni
1.0
-0.5936 -3.8856 0.7669
3.0589 -2.5751 -0.2232
2.2194 -1.0651 6.7781
Zr Er Ni
2 1 1
Cartesian
1.9930 -1.2414 5.7095
1.0499 -1.9759 1.2583
2.3459 -3.7601 3.6779
3.8575 -5.3764 7.1152
```

Results
Electronic total energy (eV/cell): -27.06
ΔE_f (eV per formula unit): 0.38
Symmetry: No. 160
Crystal system: trigonal
Relative energy among the computed polymorphs (meV/atom): 282.8
Magnetic moment (μB per formula unit): 0.00
Density (g cm⁻³): 7.15

=====

Record 21
# Er2ZrNi9

An optimized crystal structure of Er2ZrNi9 (PBE, the Alexandria database).

POSCAR file:
```
Er2ZrNi9
1.0
-1.4625 2.0651 4.1730
2.6558 -0.5509 4.0572
4.5887 7.1838 0.9070
Ni Er Zr
9 2 1
Cartesian
2.9557 2.1174 5.6956
2.8910 4.3489 4.5686
4.8921 5.2683 3.3835
4.1585 6.3042 5.4768
4.9858 7.6874 3.6507
2.8263 6.5805 3.4416
1.6235 2.3937 3.6605
0.7962 1.0105 5.4865
0.8899 3.4296 5.7537
2.8574 4.4246 1.6657
2.9246 4.2733 7.4716
0.0000 0.0000 0.0000
```

Results
Electronic total energy (eV/cell): -74.57
ΔE_f (eV per formula unit): -4.87
Symmetry: No. 166
Crystal system: trigonal
Magnetic moment (μB per formula unit): 0.00
Density (g cm⁻³): 9.49